Record 1
Density functional theory data (PBE) for a relaxed structure of ZnSbOs2.

E (hartree per atom): -0.23728
E above lowest polymorph (meV/atom): 167
Total magnetization (Bohr magnetons per cell): 0.00
ρ (Mg/m³): 14.0
D(E_F) (states/eV per cell): 4.032
Space-group type: R3m

```
ZnSbOs2
1.0
-8.567 2.707 1.624
-9.112 0.003 0.582
-8.453 0.380 3.431
Os Sb Zn
2 1 1
direct
0.998 0.998 0.998
0.256 0.256 0.256
0.505 0.505 0.505
0.741 0.741 0.741
```


Record 2
Density functional theory data (PBE) for a relaxed structure of Sr2PmAgS4.

E (hartree per atom): -0.18734
Total magnetization (Bohr magnetons per cell): 0.00
ρ (Mg/m³): 4.6
Space-group type: P2/m

```
Sr2PmAgS4
1.0
-1.508 -2.480 -3.005
5.449 1.876 -4.284
1.785 -5.779 3.874
Sr Pm Ag S
2 1 1 4
direct
0.500 0.000 0.500
0.000 0.500 0.500
0.500 0.500 0.000
0.000 0.000 0.000
0.500 0.251 0.234
0.500 0.749 0.766
0.000 0.264 0.761
0.000 0.736 0.239
```


Record 3
Density functional theory data (PBE) for a relaxed structure of Nb3NiIr.

E (hartree per atom): -0.28511
E above lowest polymorph (meV/atom): 380
ΔE_f (meV/atom): 1212
Total magnetization (Bohr magnetons per cell): 0.00
ρ (Mg/m³): 7.8
D(E_F) (states/eV per cell): 6.735
Space-group type: Pm-3m

```
Nb3NiIr
1.0
-2.111 3.225 -2.905
-0.301 -3.331 -3.480
-4.330 -1.341 1.658
Ni Nb Ir
1 3 1
direct
0.500 0.500 0.500
0.000 0.500 0.000
0.000 0.000 0.500
0.500 0.000 0.000
0.000 0.000 0.000
```


Record 4
Density functional theory data (PBE) for a relaxed structure of PrDy5.

E (hartree per atom): -0.16946
E above lowest polymorph (meV/atom): 3
ΔE_f (meV/atom): 20
Total magnetization (Bohr magnetons per cell): 0.00
ρ (Mg/m³): 8.2
D(E_F) (states/eV per cell): 8.277
Space-group type: Cmmm

```
PrDy5
1.0
5.052 0.000 0.000
0.000 5.046 0.000
0.000 -2.523 7.575
Pr Dy
1 5
direct
0.000 0.000 0.000
0.500 0.833 0.665
0.000 0.668 0.336
0.500 0.500 0.000
0.000 0.332 0.664
0.500 0.167 0.335
```


Record 5
Density functional theory data (PBE) for a relaxed structure of Pm4DyHo3S8.

E (hartree per atom): -0.23539
Total magnetization (Bohr magnetons per cell): 0.00
ρ (Mg/m³): 7.0
D(E_F) (states/eV per cell): 7.699
Space-group type: R-3m

```
Pm4DyHo3S8
1.0
7.876 0.000 0.000
0.000 7.976 0.066
-3.938 -3.934 5.572
Pm Dy Ho S
4 1 3 8
direct
0.500 0.000 0.000
0.500 0.000 0.500
0.000 0.000 0.000
0.000 0.000 0.500
0.000 0.500 0.000
0.500 0.500 0.000
0.500 0.500 0.500
0.000 0.500 0.500
0.246 0.735 0.990
0.246 0.735 0.491
0.255 0.265 0.510
0.744 0.735 0.990
0.256 0.265 0.010
0.745 0.735 0.490
0.754 0.265 0.509
0.754 0.265 0.010
```


Record 6
Density functional theory data (PBE) for a relaxed structure of PmThGa.

E (hartree per atom): -0.19038
E above lowest polymorph (meV/atom): 168
ΔE_f (meV/atom): -115
Total magnetization (Bohr magnetons per cell): 0.00
ρ (Mg/m³): 8.9
D(E_F) (states/eV per cell): 3.135
Space-group type: P3m1

```
PmThGa
1.0
3.798 0.000 0.000
0.000 5.038 0.000
0.000 -2.519 4.363
Ga Th Pm
1 1 1
direct
0.020 0.000 0.000
0.712 0.333 0.667
0.268 0.667 0.333
```


Record 7
Density functional theory data (PBE) for a relaxed structure of CsSrTmCl6.

E (hartree per atom): -0.15940
Total magnetization (Bohr magnetons per cell): 0.00
ρ (Mg/m³): 2.8
D(E_F) (states/eV per cell): 0.000
Space-group type: P312

```
CsSrTmCl6
1.0
-4.749 1.511 -5.409
1.859 -1.303 -6.996
-2.824 -6.935 0.541
Cs Sr Tm Cl
1 1 1 6
direct
0.000 0.000 0.000
0.667 0.667 0.500
0.333 0.333 0.500
0.029 0.362 0.298
0.362 0.029 0.702
0.609 0.362 0.702
0.029 0.609 0.702
0.362 0.609 0.298
0.609 0.029 0.298
```


Record 8
Density functional theory data (PBE) for a relaxed structure of Tl5Br6.

E (hartree per atom): -0.10102
Total magnetization (Bohr magnetons per cell): 0.00
ρ (Mg/m³): 5.9
D(E_F) (states/eV per cell): 6.444
Space-group type: C2/m

```
Tl5Br6
1.0
-0.657 -8.029 -0.991
6.576 -4.551 -0.730
-0.032 -3.550 7.189
Tl Br
5 6
direct
0.500 0.000 0.500
0.329 0.342 0.000
0.671 0.658 0.000
0.157 0.687 0.500
0.843 0.313 0.500
0.734 0.000 0.764
0.266 0.000 0.236
0.431 0.657 0.743
0.912 0.657 0.257
0.569 0.343 0.257
0.088 0.343 0.743
```


Record 9
Density functional theory data (PBE) for a relaxed structure of Tm3Tl2Cu.

E (hartree per atom): -0.14720
E above lowest polymorph (meV/atom): 0
ΔE_f (meV/atom): -298
Total magnetization (Bohr magnetons per cell): 0.16
ρ (Mg/m³): 11.1
D(E_F) (states/eV per cell): 2.578
Space-group type: P4/mmm

```
Tm3Tl2Cu
1.0
3.512 0.000 0.000
0.000 3.512 0.000
0.000 0.000 11.847
Tm Tl Cu
3 2 1
direct
0.000 0.000 0.000
0.000 0.000 0.641
0.000 0.000 0.359
0.500 0.500 0.821
0.500 0.500 0.179
0.500 0.500 0.500
```


Record 10
Density functional theory data (PBE) for a relaxed structure of AcHo5Tm6.

E (hartree per atom): -0.16341
ΔE_f (meV/atom): 39
Total magnetization (Bohr magnetons per cell): 0.00
ρ (Mg/m³): 9.1
D(E_F) (states/eV per cell): 15.879
Space-group type: C2/m

```
AcHo5Tm6
1.0
0.578 -5.004 -3.513
3.866 0.024 -4.767
8.654 -5.492 5.675
Ac Tm Ho
1 6 5
direct
0.000 0.000 0.000
0.579 0.336 0.255
0.084 0.336 0.745
0.748 0.000 0.745
0.252 0.000 0.255
0.916 0.664 0.255
0.421 0.664 0.745
0.167 0.666 0.500
0.333 0.333 0.000
0.500 0.000 0.500
0.667 0.667 0.000
0.833 0.334 0.500
```


Record 11
Density functional theory data (PBE) for a relaxed structure of DyCd12Ag6.

E (hartree per atom): -0.06291
ΔE_f (meV/atom): 9
Total magnetization (Bohr magnetons per cell): 0.00
ρ (Mg/m³): 8.4
D(E_F) (states/eV per cell): 4.365
Space-group type: R-3m

```
DyCd12Ag6
1.0
-5.310 4.408 3.896
-4.071 -3.692 -5.709
2.189 -5.681 5.073
Dy Cd Ag
1 12 6
direct
0.000 0.000 0.000
0.887 0.113 0.500
0.878 0.631 0.631
0.631 0.631 0.878
0.369 0.122 0.369
0.369 0.369 0.122
0.122 0.369 0.369
0.113 0.500 0.887
0.500 0.887 0.113
0.113 0.887 0.500
0.887 0.500 0.113
0.500 0.113 0.887
0.631 0.878 0.631
0.703 0.300 0.300
0.300 0.300 0.703
0.300 0.703 0.300
0.700 0.700 0.297
0.297 0.700 0.700
0.700 0.297 0.700
```


total magnetization of number 7 (CsSrTmCl6)?
0.00 Bohr magnetons per cell